No. 1
The following is a GGA-PBEsol calculation of an optimized crystal structure of SnPSe2, from Alexandria via LeMat-Bulk.

Calculated values
Total DFT energy (no corrections): -0.3106 Ry/atom
Space group: No. 166
D(E_F): 1.41 states/eV/f.u.

a b c (Å): 3.7926 3.7926 8.5403
angles (deg): 77.17 77.17 60.00
Last column: nearest neighbours and their distance in Å.
Element x y z (fractional)
1 Sn 0.5000 0.5000 0.5000  6 Se 2.82
2 Se 0.0950 0.0950 0.7149  1 P 2.35
3 Se 0.9050 0.9050 0.2851  1 P 2.35
4 P 0.0000 0.0000 0.0000  2 Se 2.35

---

No. 2
The following is a GGA-PBEsol calculation of an optimized crystal structure of LiVF6, from Alexandria via LeMat-Bulk.

Calculated values
Total DFT energy (no corrections): -0.4208 Ry/atom
Space group: No. 149
D(E_F): 0.00 states/eV/f.u.

a b c (Å): 4.5065 4.8414 4.8414
angles (deg): 120.00 90.00 90.00
Last column: nearest neighbours and their distance in Å.
Element x y z (fractional)
1 F 0.2312 0.3585 0.0418  1 V 1.79
2 F 0.7688 0.3585 0.3167  1 V 1.79
3 F 0.2312 0.6833 0.6415  1 V 1.79
4 F 0.2312 0.9582 0.3167  1 V 1.79
5 F 0.7688 0.9582 0.6415  1 V 1.79
6 Li 0.5000 0.0000 0.0000  6 F 2.04
7 V 0.0000 0.6667 0.3333  6 F 1.79
8 F 0.7688 0.6833 0.0418  1 V 1.79

---

No. 3
The following is a GGA-PBEsol calculation of an optimized crystal structure of Zn2InBr, from Alexandria via LeMat-Bulk.

Calculated values
Total DFT energy (no corrections): -0.1458 Ry/atom
Space group: No. 6
Polymorph energy (0 for the lowest one): 0.000 eV/atom
D(E_F): 1.80 states/eV/f.u.

a b c (Å): 5.4276 3.3569 5.3814
angles (deg): 90.00 116.56 90.00
Last column: nearest neighbours and their distance in Å.
Element x y z (fractional)
1 Zn 0.9895 0.0000 0.0432  2 Zn 2.57, 1 Br 2.81
2 Br 0.5320 0.0000 0.4699  4 Zn 2.71-2.97
3 In 0.2262 0.5000 0.7582  4 Zn 2.85-2.93
4 Zn 0.7523 0.5000 0.2287  2 Zn 2.57, 2 Br 2.71, 2 In 2.85-2.86

---

No. 4
The following is a GGA-PBEsol calculation of an optimized crystal structure of Sr4Be3Ge5, from Alexandria via LeMat-Bulk.

Calculated values
Total DFT energy (no corrections): -0.2978 Ry/atom
ΔE_f: -8.8 kcal/mol of atoms
Space group: No. 187
D(E_F): 4.44 states/eV/f.u.

a b c (Å): 4.1198 4.1198 18.1792
angles (deg): 90.00 90.00 120.00
Last column: nearest neighbours and their distance in Å.
Element x y z (fractional)
1 Be 0.0000 0.0000 0.7512  3 Ge 2.38
2 Sr 0.6667 0.3333 0.1237  6 Ge 3.27-3.28, 6 Be 3.27-3.29
3 Sr 0.6667 0.3333 0.6323  3 Be 3.21, 9 Ge 3.22-3.38
4 Sr 0.6667 0.3333 0.8763  6 Ge 3.27-3.28, 6 Be 3.27-3.29
5 Be 0.0000 0.0000 0.0000  3 Ge 2.38
6 Ge 0.0000 0.0000 0.5000  3 Ge 2.38
7 Be 0.0000 0.0000 0.2488  3 Ge 2.38
8 Sr 0.6667 0.3333 0.3677  3 Be 3.21, 9 Ge 3.22-3.38
9 Ge 0.3333 0.6667 0.0000  3 Be 2.38
10 Ge 0.3333 0.6667 0.2484  3 Be 2.38
11 Ge 0.3333 0.6667 0.7516  3 Be 2.38
12 Ge 0.3333 0.6667 0.5000  3 Ge 2.38

---

No. 5
The following is a GGA-PBEsol calculation of an optimized crystal structure of Tl2AgPb, from Alexandria via LeMat-Bulk.

Calculated values
Total DFT energy (no corrections): -0.2211 Ry/atom
ΔE_f: 3.1 kcal/mol of atoms
Space group: No. 47
D(E_F): 1.72 states/eV/f.u.

a b c (Å): 3.7558 5.1439 5.2513
angles (deg): 90.00 90.00 90.00
Last column: nearest neighbours and their distance in Å.
Element x y z (fractional)
1 Tl 0.5000 0.5000 0.0000  4 Tl 3.18, 4 Pb 3.23
2 Pb 0.0000 0.5000 0.5000  4 Ag 3.18, 4 Tl 3.23
3 Ag 0.5000 0.0000 0.5000  4 Pb 3.18, 4 Tl 3.23
4 Tl 0.0000 0.0000 0.0000  4 Tl 3.18, 4 Ag 3.23

---

No. 6
The following is a GGA-PBEsol calculation of an optimized crystal structure of LaSiSb2, from Alexandria via LeMat-Bulk.

Calculated values
Total DFT energy (no corrections): -0.4055 Ry/atom
Space group: No. 6
D(E_F): 1.33 states/eV/f.u.

a b c (Å): 4.2312 4.3339 6.3641
angles (deg): 109.02 90.00 90.00
Last column: nearest neighbours and their distance in Å.
Element x y z (fractional)
1 Si 0.0000 0.8735 0.5303  3 Sb 2.54-2.61
2 La 0.5000 0.4340 0.7335  4 Si 3.16-3.37, 6 Sb 3.27-3.33
3 Sb 0.5000 0.6648 0.2846  2 Si 2.61
4 Sb 0.0000 0.0276 0.9517  1 Si 2.54